1.
The following is a DFT calculation (GGA-PBE) of an optimized crystal structure of ZrAlAu2.

Values from the calculation:
Energy relative to the elements (kJ per mole of atoms): -41.7
N(E_F) (states/eV/cell): 2.64
SG: P4/mmm, No. 123
Total energy (eV/cell): -20.6

Cell lengths 4.3159, 4.3158, 3.9906 Å; angles 89.99, 89.99, 89.99 degrees
Positions (direct):
Au1 0.0000 0.0000 0.0000
Au2 0.5000 0.5000 0.0000
Al1 0.0000 0.5000 0.5000
Zr1 0.5000 0.0000 0.5000

2.
The following is a DFT calculation (GGA-PBE) of an optimized crystal structure of Zr3AlAu2.

Values from the calculation:
Energy relative to the elements (kJ per mole of atoms): -47.6
N(E_F) (states/eV/cell): 5.53
SG: P4/mmm, No. 123
Total energy (eV/cell): -38.9

Cell lengths 3.1095, 3.1095, 12.2144 Å; angles 90.00, 90.00, 90.00 degrees
Positions (direct):
Zr1 0.0000 0.0000 0.0000
Zr2 0.0000 0.0000 0.6644
Zr3 0.0000 0.0000 0.3356
Al1 0.5000 0.5000 0.5000
Au1 0.5000 0.5000 0.8335
Au2 0.5000 0.5000 0.1665

3.
The following is a DFT calculation (GGA-PBE) of an optimized crystal structure of Zr2Al3Au2.

Values from the calculation:
Energy relative to the elements (kJ per mole of atoms): -46.7
N(E_F) (states/eV/cell): 7.13
SG: Cmcm, No. 63
Total energy (eV/cell): -76.5

Cell lengths 4.4476, 6.0361, 9.9491 Å; angles 90.00, 102.92, 90.00 degrees
Positions (direct):
Zr1 0.1436 0.2500 0.2871
Zr2 0.8564 0.7500 0.7129
Zr3 0.9824 0.2500 0.9648
Zr4 0.0176 0.7500 0.0352
Al1 0.1710 0.7500 0.3420
Al2 0.8290 0.2500 0.6580
Al3 0.5697 0.4785 0.1394
Al4 0.4303 0.5215 0.8606
Al5 0.4303 0.9785 0.8606
Al6 0.5697 0.0215 0.1394
Au1 0.7054 0.0009 0.4108
Au2 0.2946 0.9991 0.5892
Au3 0.2946 0.5009 0.5892
Au4 0.7054 0.4991 0.4108

4.
The following is a DFT calculation (GGA-PBE) of an optimized crystal structure of ZrAlAu2.

Values from the calculation:
Energy relative to the elements (kJ per mole of atoms): -35.5
N(E_F) (states/eV/cell): 2.55
SG: C2/m, No. 12
Total energy (eV/cell): -20.3

Cell lengths 4.6211, 4.6211, 5.6903 Å; angles 78.95, 78.95, 40.16 degrees
Positions (direct):
Au1 0.9908 0.9908 0.0243
Au2 0.5092 0.5092 0.4757
Al1 0.2500 0.2500 0.2500
Zr1 0.7500 0.7500 0.7500